A plane-wave DFT calculation with PBE was carried out for crystalline PrGdPt2 at its relaxed geometry.

a b c (Å): 5.0662 5.0662 5.0662
angles (deg): 60.00 60.00 60.00
Atoms (fractional coordinates):
Pr 0.0000 0.0000 0.0000
Gd 0.5000 0.5000 0.5000
Pt 0.2500 0.2500 0.2500
Pt 0.7500 0.7500 0.7500

E_tot = -8.81 eV/atom
Energy relative to the lowest polymorph listed for this composition = 5 meV per atom

A plane-wave DFT calculation with PBE was carried out for crystalline PrGdPt4 at its relaxed geometry.

a b c (Å): 5.4953 5.4953 5.4953
angles (deg): 60.00 60.00 60.00
Atoms (fractional coordinates):
Pr 0.0000 0.0000 0.0000
Gd 0.7500 0.7500 0.7500
Pt 0.3754 0.3754 0.3754
Pt 0.3754 0.3754 0.8739
Pt 0.3754 0.8739 0.3754
Pt 0.8739 0.3754 0.3754

E_tot = -8.25 eV/atom

A plane-wave DFT calculation with PBE was carried out for crystalline PrGd2Pt at its relaxed geometry.

a b c (Å): 3.6089 3.6089 8.7043
angles (deg): 90.00 90.00 90.00
Atoms (fractional coordinates):
Pr 0.0000 0.0000 0.0000
Gd 0.5000 0.5000 0.3105
Gd 0.5000 0.5000 0.6895
Pt 0.0000 0.0000 0.5000

E_tot = -10.32 eV/atom
Energy relative to the lowest polymorph listed for this composition = 0 meV per atom

A plane-wave DFT calculation with PBE was carried out for crystalline PrGdPtRh at its relaxed geometry.

a b c (Å): 5.0231 5.0231 5.0231
angles (deg): 60.00 60.00 60.00
Atoms (fractional coordinates):
Pr 0.0000 0.0000 0.0000
Gd 0.5000 0.5000 0.5000
Pt 0.2500 0.2500 0.2500
Rh 0.7500 0.7500 0.7500

E_tot = -8.95 eV/atom

A plane-wave DFT calculation with PBE was carried out for crystalline PrGdTlPt at its relaxed geometry.

a b c (Å): 5.2769 5.2769 5.2769
angles (deg): 60.00 60.00 60.00
Atoms (fractional coordinates):
Pr 0.0000 0.0000 0.0000
Gd 0.5000 0.5000 0.5000
Tl 0.2500 0.2500 0.2500
Pt 0.7500 0.7500 0.7500

E_tot = -7.44 eV/atom

A plane-wave DFT calculation with PBE was carried out for crystalline PrGdPu at its relaxed geometry.

a b c (Å): 5.7318 5.7318 3.3500
angles (deg): 90.00 90.00 120.00
Atoms (fractional coordinates):
Pr 0.0000 0.0000 0.0000
Gd 0.3333 0.6667 0.0000
Pu 0.6667 0.3333 0.5000

E_tot = -10.83 eV/atom
Energy relative to the lowest polymorph listed for this composition = 103 meV per atom

A plane-wave DFT calculation with PBE was carried out for crystalline PrGdPu at its relaxed geometry.

a b c (Å): 7.9960 7.9960 7.9960
angles (deg): 154.27 154.27 36.71
Atoms (fractional coordinates):
Pr 0.0000 0.0000 0.0000
Gd 0.6765 0.6765 0.0000
Pu 0.3355 0.3355 0.0000

E_tot = -10.93 eV/atom
Energy relative to the lowest polymorph listed for this composition = 0 meV per atom

A plane-wave DFT calculation with PBE was carried out for crystalline Pr2GdPu at its relaxed geometry.

a b c (Å): 5.0908 5.0908 5.0675
angles (deg): 90.00 90.00 90.00
Atoms (fractional coordinates):
Pr 0.0000 0.5000 0.0000
Pr 0.5000 0.0000 0.0000
Gd 0.0000 0.0000 0.5000
Pu 0.5000 0.5000 0.5000

E_tot = -9.34 eV/atom
Energy relative to the lowest polymorph listed for this composition = 0 meV per atom

A plane-wave DFT calculation with PBE was carried out for crystalline Pr2GdPu at its relaxed geometry.

a b c (Å): 5.7589 5.7589 5.7589
angles (deg): 60.00 60.00 60.00
Atoms (fractional coordinates):
Pr 0.2500 0.2500 0.2500
Pr 0.7500 0.7500 0.7500
Gd 0.0000 0.0000 0.0000
Pu 0.5000 0.5000 0.5000

E_tot = -9.25 eV/atom
Energy relative to the lowest polymorph listed for this composition = 92 meV per atom

A plane-wave DFT calculation with PBE was carried out for crystalline PrGdPuSn at its relaxed geometry.

a b c (Å): 5.4551 5.4551 5.4551
angles (deg): 60.00 60.00 60.00
Atoms (fractional coordinates):
Pr 0.0000 0.0000 0.0000
Gd 0.5000 0.5000 0.5000
Pu 0.7500 0.7500 0.7500
Sn 0.2500 0.2500 0.2500

E_tot = -9.48 eV/atom

A plane-wave DFT calculation with PBE was carried out for crystalline PrGdPuTl at its relaxed geometry.

a b c (Å): 5.5228 5.5228 5.5228
angles (deg): 60.00 60.00 60.00
Atoms (fractional coordinates):
Pr 0.0000 0.0000 0.0000
Gd 0.5000 0.5000 0.5000
Pu 0.7500 0.7500 0.7500
Tl 0.2500 0.2500 0.2500

E_tot = -8.88 eV/atom

A plane-wave DFT calculation with PBE was carried out for crystalline RbPrGd2 at its relaxed geometry.

a b c (Å): 13.6989 13.6989 13.6989
angles (deg): 15.52 15.52 15.52
Atoms (fractional coordinates):
Rb 0.0000 0.0000 0.0000
Pr 0.5000 0.5000 0.5000
Gd 0.0960 0.0960 0.0960
Gd 0.9040 0.9040 0.9040

E_tot = -8.21 eV/atom